# 1
First-principles (GGA-PBE) data for a geometry-optimized UPb2 structure, as listed in Alexandria via LeMat-Bulk.

```
UPb2
1.0
2.296 -2.339 0.000
2.296 2.339 0.000
0.000 0.000 8.132
U Pb
1 2
Direct
0.000 0.000 0.000 U
0.500 0.500 0.306 Pb
0.500 0.500 0.694 Pb
```

Summary:
Its crystal system is orthorhombic. As for the space group: No. 65. The total magnetization comes out at 3.24 μB/f.u. For the formation energy from the elements, the calculation gives 0.2820 eV/atom.

***

# 2
First-principles (GGA-PBE) data for a geometry-optimized Tb12Pr5Pu structure, as listed in Alexandria via LeMat-Bulk.

```
Tb12Pr5Pu
1.0
5.714 -8.715 0.000
5.714 8.715 0.000
-0.051 0.000 5.997
Tb Pr Pu
12 5 1
Direct
0.005 0.337 0.044 Tb
0.155 0.485 0.547 Tb
0.166 0.166 0.439 Tb
0.312 0.312 0.939 Tb
0.337 0.005 0.044 Tb
0.485 0.155 0.547 Tb
0.515 0.845 0.453 Tb
0.663 0.995 0.956 Tb
0.688 0.688 0.061 Tb
0.834 0.834 0.561 Tb
0.845 0.515 0.453 Tb
0.995 0.663 0.956 Tb
0.172 0.828 0.500 Pr
0.340 0.660 0.000 Pr
0.500 0.500 0.500 Pr
0.660 0.340 0.000 Pr
0.828 0.172 0.500 Pr
0.000 0.000 0.000 Pu
```

Summary:
Its crystal system is monoclinic. As for the space group: No. 12. The total magnetization comes out at 6.49 μB/f.u. For the formation energy from the elements, the calculation gives 0.1182 eV/atom.

***

# 3
First-principles (GGA-PBE) data for a geometry-optimized Sm2InCo structure, as listed in Alexandria via LeMat-Bulk.

```
Sm2InCo
1.0
3.536 0.000 0.000
0.000 3.536 0.000
0.000 0.000 7.750
Sm In Co
2 1 1
Direct
0.000 0.000 0.215 Sm
0.000 0.000 0.785 Sm
0.500 0.500 0.500 In
0.500 0.500 0.000 Co
```

Summary:
Its crystal system is tetragonal. As for the space group: No. 123. The total magnetization comes out at 0.73 μB/f.u. For the formation energy from the elements, the calculation gives -0.2445 eV/atom.

***

# 4
First-principles (GGA-PBE) data for a geometry-optimized Na2ZnGa4 structure, as listed in Alexandria via LeMat-Bulk.

```
Na2ZnGa4
1.0
2.493 -9.761 0.000
2.493 9.761 0.000
0.000 0.000 3.035
Na Zn Ga
2 1 4
Direct
0.206 0.794 0.000 Na
0.794 0.206 0.000 Na
0.500 0.500 0.500 Zn
0.068 0.932 0.500 Ga
0.382 0.618 0.000 Ga
0.618 0.382 0.000 Ga
0.932 0.068 0.500 Ga
```

Summary:
Its crystal system is orthorhombic. As for the space group: No. 65. The total magnetization comes out at 0.00 μB/f.u. For the formation energy from the elements, the calculation gives 0.0450 eV/atom.